# 1
Here is a relaxed Nd2BiCl crystal from Alexandria. Energies are from PBE.

Cell: 4.4517 4.4517 20.5343 Å, 90.00 90.00 120.00°
Space group R-3m (No. 166, hexagonal axes)
Unique sites:
Nd 0.0000 0.0000 0.2397 (multiplicity 6)
Bi 0.0000 0.0000 0.0000 (multiplicity 3)
Cl 0.0000 0.0000 0.5000 (multiplicity 3)

Properties
**Energy above the most stable polymorph in this dataset**: 0.000 eV/atom
**Uncorrected formation energy**: -1128 meV per atom



# 2
Here is a relaxed La2PaSi crystal from Alexandria. Energies are from PBE.

Cell: 7.552 7.552 7.552 Å, 90.00 90.00 90.00°
Space group Fm-3m (No. 225)
Unique sites:
La 0.250 0.250 0.250 (multiplicity 8)
Pa 0.000 0.000 0.000 (multiplicity 4)
Si 0.000 0.000 0.500 (multiplicity 4)

Properties
**Energy above the most stable polymorph in this dataset**: 0.297 eV/atom
**Uncorrected formation energy**: 220 meV per atom



# 3
Here is a relaxed LiNp3Tl4O12 crystal from Alexandria. Energies are from PBE.

Cell: 8.674 8.674 8.674 Å, 90.00 90.00 90.00°
Space group Im-3m (No. 229)
Unique sites:
Li 0.000 0.000 0.000 (multiplicity 2)
Np 0.000 0.000 0.500 (multiplicity 6)
Tl 0.250 0.250 0.250 (multiplicity 8)
O 0.000 0.000 0.281 (multiplicity 12)
O 0.000 0.250 0.500 (multiplicity 12)

Properties
**Uncorrected formation energy**: -2100 meV per atom



# 4
Here is a relaxed Ag2OsO6 crystal from Alexandria. Energies are from PBE.

Cell: 4.824 4.824 9.929 Å, 90.00 90.00 90.00°
Space group P4_2/mnm (No. 136)
Unique sites:
Ag 0.000 0.000 0.162 (multiplicity 4)
Os 0.000 0.000 0.500 (multiplicity 2)
O 0.186 0.186 0.355 (multiplicity 8)
O 0.228 0.228 0.000 (multiplicity 4)

Properties
**Uncorrected formation energy**: -378 meV per atom



# 5
Here is a relaxed MnTe2PN crystal from Alexandria. Energies are from PBE.

Cell: 5.193 5.193 3.466 Å, 90.00 90.00 90.00°
Space group P4/mmm (No. 123)
Unique sites:
Mn 0.000 0.000 0.000 (multiplicity 1)
Te 0.000 0.500 0.000 (multiplicity 2)
P 0.500 0.500 0.500 (multiplicity 1)
N 0.000 0.000 0.500 (multiplicity 1)

Properties
**Energy above the most stable polymorph in this dataset**: 0.000 eV/atom
**Uncorrected formation energy**: 421 meV per atom



# 6
Here is a relaxed Pm2SnSe5 crystal from Alexandria. Energies are from PBE.

Cell: 8.228 12.146 4.075 Å, 90.00 90.00 90.00°
Space group Pbam (No. 55)
Unique sites:
Pm 0.031 0.174 0.000 (multiplicity 4)
Sn 0.000 0.500 0.500 (multiplicity 2)
Se 0.000 0.000 0.500 (multiplicity 2)
Se 0.172 0.403 0.000 (multiplicity 4)
Se 0.177 0.696 0.500 (multiplicity 4)

Properties
**Energy above the most stable polymorph in this dataset**: 0.000 eV/atom
**Uncorrected formation energy**: -1310 meV per atom



Which formula does entry 5 have? MnTe2PN



The lowest uncorrected formation energy belongs to which entry? LiNp3Tl4O12



Among the records above, which one has the lowest uncorrected formation energy? LiNp3Tl4O12



Which formula does entry 1 have? Nd2BiCl